Record 1
YTmAu5 | GGA-PBE | relaxed

```
YTmAu5
1.0
3.3498 -4.0816 0.0000
3.3498 4.0816 0.0000
-3.1906 0.0000 10.7252
Y Tm Au
2 2 10
Direct
0.0000 0.5000 0.0000
0.5000 0.0000 0.5000
0.1904 0.8096 0.7500
0.8096 0.1904 0.2500
0.0676 0.2815 0.5412
0.1738 0.8262 0.2500
0.2815 0.0676 0.0412
0.3870 0.4050 0.3508
0.4050 0.3870 0.8508
0.5950 0.6130 0.1492
0.6130 0.5950 0.6492
0.7185 0.9324 0.9588
0.8262 0.1738 0.7500
0.9324 0.7185 0.4588
```

Values from the calculation:
Theoretical density   14.1 g cm⁻³
Space group   No. 15
Energy   -4.57 eV per atom
M_tot   0.000 μB/atom
Formation energy   -662 meV/atom

=====

Record 2
Cr2TcNi | GGA-PBE | relaxed

```
Cr2TcNi
1.0
2.5296 0.0000 0.0000
0.0000 2.5296 0.0000
0.0000 0.0000 7.7008
Cr Tc Ni
2 1 1
Direct
0.0000 0.0000 0.2329
0.0000 0.0000 0.7671
0.5000 0.5000 0.5000
0.5000 0.5000 0.0000
```

Values from the calculation:
Theoretical density   8.8 g cm⁻³
Space group   No. 123
Energy   -8.67 eV per atom
M_tot   0.000 μB/atom
Formation energy   180 meV/atom

=====

Record 3
ErU2Pt9 | GGA-PBE | relaxed

```
ErU2Pt9
1.0
4.1405 0.0000 0.0000
0.0000 4.1405 0.0000
0.0000 0.0000 12.3980
Er U Pt
1 2 9
Direct
0.0000 0.0000 0.0000
0.0000 0.0000 0.3308
0.0000 0.0000 0.6692
0.0000 0.5000 0.1670
0.0000 0.5000 0.5000
0.0000 0.5000 0.8330
0.5000 0.0000 0.1670
0.5000 0.0000 0.5000
0.5000 0.0000 0.8330
0.5000 0.5000 0.0000
0.5000 0.5000 0.3324
0.5000 0.5000 0.6676
```

Values from the calculation:
Theoretical density   18.7 g cm⁻³
Space group   No. 123
Energy   -7.66 eV per atom
M_tot   0.268 μB/atom
Formation energy   -867 meV/atom

=====

Record 4
CeGa2Co4Si | GGA-PBE | relaxed

```
CeGa2Co4Si
1.0
1.9936 1.1510 8.0882
-1.9936 1.1510 8.0882
0.0000 -2.3020 8.0882
Ce Ga Co Si
1 2 4 1
Direct
0.0000 0.0000 0.0000
0.2410 0.2410 0.2410
0.7590 0.7590 0.7590
0.1355 0.1355 0.1355
0.4057 0.4057 0.4057
0.5943 0.5943 0.5943
0.8645 0.8645 0.8645
0.5000 0.5000 0.5000
```

Values from the calculation:
Theoretical density   8.1 g cm⁻³
Space group   No. 166
Energy   -6.11 eV per atom
M_tot   0.000 μB/atom
Formation energy from raw total energies   -0.378 eV per atom